(1)
## Li2YZn9 (GGA-PBE)

Data for crystalline Li2YZn9 at its relaxed geometry.

The calculation puts the relative energy among the computed polymorphs at 0 meV per atom. Its formation energy is -4.94 kcal/mol of atoms.

Lattice parameters (Å, degrees): 5.2549 5.2549 24.9942 90.00 90.00 120.00
Space group R-3m (No. 166, hexagonal axes)
Unique sites:
Li: 0.0000 0.0000 0.1434
Y: 0.0000 0.0000 0.0000
Zn: 0.0000 0.0000 0.3342
Zn: 0.0000 0.0000 0.5000
Zn: 0.0063 0.5031 0.9141


(2)
## PmPr4Tm8 (GGA-PBE)

Data for crystalline PmPr4Tm8 at its relaxed geometry.

Its formation energy is 12.28 kcal/mol of atoms.

Lattice parameters (Å, degrees): 11.0493 11.0493 13.4885 90.00 90.00 120.00
Space group R-3m (No. 166, hexagonal axes)
Unique sites:
Pm: 0.0000 0.0000 0.0000
Pr: 0.0000 0.0000 0.5000
Pr: 0.0000 0.5000 0.5000
Tm: 0.0000 0.0000 0.2604
Tm: 0.0136 0.5068 0.2458


(3)
## AcTbRe2N5 (GGA-PBE)

Data for crystalline AcTbRe2N5 at its relaxed geometry.

The uncorrected formation energy comes out at -0.79 eV/atom.

Lattice parameters (Å, degrees): 3.977 3.977 7.377 90.00 90.00 90.00
Space group P4/mmm (No. 123)
Unique sites:
Ac: 0.000 0.000 0.000
Tb: 0.000 0.000 0.500
Re: 0.500 0.500 0.271
N: 0.000 0.500 0.289
N: 0.500 0.500 0.000


(4)
## Ba3NpCu2S6 (GGA-PBE)

Data for crystalline Ba3NpCu2S6 at its relaxed geometry.

The uncorrected formation energy comes out at -1.27 eV/atom.

Lattice parameters (Å, degrees): 7.3312 7.3312 7.9805 90.00 90.00 120.00
Space group P-3m1 (No. 164)
Unique sites:
Ba: 0.0000 0.0000 0.0000
Ba: 0.3333 0.6667 0.6267
Np: 0.0000 0.0000 0.5000
Cu: 0.3333 0.6667 0.2305
S: 0.1651 0.3301 0.2959


(5)
## Al4P (GGA-PBE)

Data for crystalline Al4P at its relaxed geometry.

The calculation puts the relative energy among the computed polymorphs at 354 meV per atom. Its formation energy is 10.21 kcal/mol of atoms.

Lattice parameters (Å, degrees): 4.673 4.673 4.673 90.00 90.00 90.00
Space group Pm-3m (No. 221)
Unique sites:
Al: 0.000 0.000 0.000
Al: 0.000 0.500 0.500
P: 0.500 0.500 0.500


(6)
## MnSb2Mo (GGA-PBE)

Data for crystalline MnSb2Mo at its relaxed geometry.

The calculation puts the relative energy among the computed polymorphs at 220 meV per atom. The uncorrected formation energy comes out at 0.33 eV/atom.

Lattice parameters (Å, degrees): 3.3662 3.3662 24.5958 90.00 90.00 120.00
Space group R-3m (No. 166, hexagonal axes)
Unique sites:
Mn: 0.0000 0.0000 0.0000
Sb: 0.0000 0.0000 0.2478
Mo: 0.0000 0.0000 0.5000


(7)
## CsBi2TeO8 (GGA-PBE)

Data for crystalline CsBi2TeO8 at its relaxed geometry.

The uncorrected formation energy comes out at -1.00 eV/atom.

Lattice parameters (Å, degrees): 4.909 4.931 8.927 91.32 90.74 91.29
Space group P-1 (No. 2)
Unique sites:
Cs: 0.000 0.000 0.000
Bi: 0.458 0.456 0.313
Te: 0.000 0.000 0.500
O: 0.170 0.806 0.662
O: 0.206 0.837 0.338
O: 0.291 0.302 0.520
O: 0.371 0.465 0.981


(8)
## Be3Pt4 (GGA-PBE)

Data for crystalline Be3Pt4 at its relaxed geometry.

The calculation puts the relative energy among the computed polymorphs at 100 meV per atom. Its formation energy is -13.81 kcal/mol of atoms.

Lattice parameters (Å, degrees): 2.823 2.823 21.607 90.00 90.00 90.00
Space group I4/mmm (No. 139)
Unique sites:
Be: 0.000 0.000 0.000
Be: 0.000 0.000 0.277
Pt: 0.000 0.000 0.167
Pt: 0.000 0.000 0.434


(9)
## KBaMn2 (GGA-PBE)

Data for crystalline KBaMn2 at its relaxed geometry.

The calculation puts the relative energy among the computed polymorphs at 238 meV per atom. Its formation energy is 21.99 kcal/mol of atoms.

Lattice parameters (Å, degrees): 8.191 8.191 8.191 90.00 90.00 90.00
Space group Fm-3m (No. 225)
Unique sites:
K: 0.000 0.000 0.000
Ba: 0.000 0.000 0.500
Mn: 0.250 0.250 0.250


(10)
## Ac2MgS4 (GGA-PBE)

Data for crystalline Ac2MgS4 at its relaxed geometry.

The uncorrected formation energy comes out at -1.87 eV/atom.

Lattice parameters (Å, degrees): 6.921 6.810 8.341 90.00 108.03 90.00
Space group P2_1/m (No. 11)
Unique sites:
Ac: 0.215 0.250 0.054
Ac: 0.252 0.250 0.562
Mg: 0.248 0.750 0.808
S: 0.003 0.507 0.257
S: 0.447 0.750 0.100
S: 0.448 0.750 0.620


(11)
## Ga3SnCl12 (GGA-PBE)

Data for crystalline Ga3SnCl12 at its relaxed geometry.

The uncorrected formation energy comes out at -1.03 eV/atom.

Lattice parameters (Å, degrees): 11.7926 11.7926 35.8049 90.00 90.00 120.00
Space group R3c (No. 161, hexagonal axes)
Unique sites:
Ga: 0.0185 0.3125 0.0000
Sn: 0.0000 0.0000 0.4941
Cl: 0.0792 0.2163 0.9534
Cl: 0.1497 0.4498 0.3119
Cl: 0.1915 0.4489 0.0291
Cl: 0.2095 0.4508 0.7025


(12)
## Ac5AlPb4 (GGA-PBE)

Data for crystalline Ac5AlPb4 at its relaxed geometry.

Its formation energy is -9.82 kcal/mol of atoms.

Lattice parameters (Å, degrees): 3.851 3.851 23.340 90.00 90.00 90.00
Space group P4/mmm (No. 123)
Unique sites:
Ac: 0.000 0.000 0.000
Ac: 0.000 0.000 0.205
Ac: 0.000 0.000 0.409
Al: 0.500 0.500 0.500
Pb: 0.500 0.500 0.102
Pb: 0.500 0.500 0.305


(13)
## LiSiTc2 (GGA-PBE)

Data for crystalline LiSiTc2 at its relaxed geometry.

The uncorrected formation energy comes out at -0.08 eV/atom.

Lattice parameters (Å, degrees): 3.030 4.139 8.323 90.00 90.00 90.00
Space group Imm2 (No. 44)
Unique sites:
Li: 0.000 0.000 0.000
Si: 0.000 0.500 0.743
Tc: 0.000 0.000 0.486
Tc: 0.000 0.500 0.242


(14)
## PrNd2Zn2Pb2 (GGA-PBE)

Data for crystalline PrNd2Zn2Pb2 at its relaxed geometry.

Its formation energy is -5.57 kcal/mol of atoms.

Lattice parameters (Å, degrees): 4.8092 4.8092 29.1732 90.00 90.00 120.00
Space group R-3m (No. 166, hexagonal axes)
Unique sites:
Pr: 0.0000 0.0000 0.0000
Nd: 0.0000 0.0000 0.1323
Zn: 0.0000 0.0000 0.4249
Pb: 0.0000 0.0000 0.2693


(15)
## ErSc2Ru (GGA-PBE)

Data for crystalline ErSc2Ru at its relaxed geometry.

The calculation puts the relative energy among the computed polymorphs at 386 meV per atom. Its formation energy is 0.64 kcal/mol of atoms.

Lattice parameters (Å, degrees): 3.2432 3.2432 30.8014 90.00 90.00 120.00
Space group R-3m (No. 166, hexagonal axes)
Unique sites:
Er: 0.0000 0.0000 0.0000
Sc: 0.0000 0.0000 0.1053
Ru: 0.0000 0.0000 0.5000


(16)
## ErGa2Pt9 (GGA-PBE)

Data for crystalline ErGa2Pt9 at its relaxed geometry.

Its formation energy is -14.95 kcal/mol of atoms.

Lattice parameters (Å, degrees): 4.016 4.016 11.899 90.00 90.00 90.00
Space group P4/mmm (No. 123)
Unique sites:
Er: 0.000 0.000 0.000
Ga: 0.000 0.000 0.339
Pt: 0.000 0.500 0.177
Pt: 0.000 0.500 0.500
Pt: 0.500 0.500 0.000
Pt: 0.500 0.500 0.339


(17)
## NdEuErTl (GGA-PBE)

Data for crystalline NdEuErTl at its relaxed geometry.

Its formation energy is -0.90 kcal/mol of atoms.

Lattice parameters (Å, degrees): 7.884 7.884 7.884 90.00 90.00 90.00
Space group F-43m (No. 216)
Unique sites:
Nd: 0.000 0.000 0.000
Eu: 0.250 0.250 0.750
Er: 0.000 0.000 0.500
Tl: 0.250 0.250 0.250


(18)
## Tm5Sb5H2 (GGA-PBE)

Data for crystalline Tm5Sb5H2 at its relaxed geometry.

Lattice parameters (Å, degrees): 15.562 4.355 10.688 90.00 120.93 90.00
Space group C2/m (No. 12)
Unique sites:
Tm: 0.000 0.000 0.000
Tm: 0.094 0.000 0.406
Tm: 0.218 0.500 0.789
Sb: 0.000 0.500 0.500
Sb: 0.138 0.500 0.995
Sb: 0.194 0.500 0.320
H: 0.003 0.000 0.808


(19)
## CrSi3Cl (GGA-PBE)

Data for crystalline CrSi3Cl at its relaxed geometry.

The calculation puts the relative energy among the computed polymorphs at 0 meV per atom. The uncorrected formation energy comes out at 0.25 eV/atom.

Lattice parameters (Å, degrees): 4.557 4.557 4.557 90.00 90.00 90.00
Space group Pm-3m (No. 221)
Unique sites:
Cr: 0.000 0.000 0.000
Si: 0.000 0.000 0.500
Cl: 0.500 0.500 0.500


(20)
## SrRe2S2 (GGA-PBE)

Data for crystalline SrRe2S2 at its relaxed geometry.

The calculation puts the relative energy among the computed polymorphs at 0 meV per atom. The uncorrected formation energy comes out at -0.31 eV/atom.

Lattice parameters (Å, degrees): 4.103 4.103 11.456 90.00 90.00 90.00
Space group I4/mmm (No. 139)
Unique sites:
Sr: 0.000 0.000 0.000
Re: 0.000 0.500 0.250
S: 0.000 0.000 0.352


Number 1: energy -2.03 eV per atom. Number 2: energy -4.06 eV per atom. Number 3: energy -9.15 eV per atom. Number 4: energy -5.58 eV per atom. Number 5: energy -3.63 eV per atom. Number 6: energy -6.73 eV per atom. Number 7: energy -5.29 eV per atom. Number 8: energy -5.65 eV per atom. Number 9: energy -4.39 eV per atom. Number 10: energy -5.63 eV per atom. Number 11: energy -3.24 eV per atom. Number 12: energy -4.34 eV per atom. Number 13: energy -7.09 eV per atom. Number 14: energy -3.71 eV per atom. Number 15: energy -6.60 eV per atom. Number 16: energy -6.06 eV per atom. Number 17: energy -5.53 eV per atom. Number 18: energy -4.78 eV per atom. Number 19: energy -5.30 eV per atom. Number 20: energy -7.28 eV per atom.